Crystalline CrRuPb at its relaxed geometry. Source: the Alexandria database, functional GGA-PBE.

It has space group P3m1 (No. 156), with a = 3.0794 Å, b = 3.0794 Å, c = 6.6293 Å, α = 90.00°, β = 90.00° and γ = 120.00°. The inequivalent atoms are Cr at (0.0000, 0.0000, 0.0000), Ru at (0.3333, 0.6667, 0.7368) and Pb at (0.6667, 0.3333, 0.3710).

As for the density: 10.989 g/cm3. As for the energy relative to the elements: 0.64 eV/atom.

---

Crystalline CrRuPb3 at its relaxed geometry. Source: the Alexandria database, functional GGA-PBE.

It has space group Pm-3m (No. 221), with a = 5.146 Å, b = 5.146 Å, c = 5.146 Å, α = 90.00°, β = 90.00° and γ = 90.00°. The inequivalent atoms are Cr at (0.000, 0.000, 0.000), Ru at (0.500, 0.500, 0.500) and Pb at (0.000, 0.000, 0.500).

Its energy relative to the lowest polymorph listed for this composition is 0 meV per atom. As for the density: 9.438 g/cm3. As for the energy relative to the elements: 1.13 eV/atom.

---

Crystalline Cr4RuPb at its relaxed geometry. Source: the Alexandria database, functional GGA-PBE.

It has space group F-43m (No. 216), with a = 6.920 Å, b = 6.920 Å, c = 6.920 Å, α = 90.00°, β = 90.00° and γ = 90.00°. The inequivalent atoms are Cr at (0.123, 0.123, 0.123), Ru at (0.000, 0.000, 0.500) and Pb at (0.250, 0.250, 0.750).

As for the density: 10.348 g/cm3. As for the energy relative to the elements: 0.43 eV/atom.

---

Crystalline CrRuPb at its relaxed geometry. Source: the Alexandria database, functional GGA-PBE.

It has space group P3m1 (No. 156), with a = 4.3804 Å, b = 4.3804 Å, c = 3.2735 Å, α = 90.00°, β = 90.00° and γ = 120.00°. The inequivalent atoms are Cr at (0.0000, 0.0000, 0.0000), Ru at (0.6667, 0.3333, 0.0033) and Pb at (0.3333, 0.6667, 0.5016).

As for the density: 10.997 g/cm3. As for the energy relative to the elements: 0.66 eV/atom.

---

Crystalline CrRuPb4 at its relaxed geometry. Source: the Alexandria database, functional GGA-PBE.

It has space group F-43m (No. 216), with a = 8.800 Å, b = 8.800 Å, c = 8.800 Å, α = 90.00°, β = 90.00° and γ = 90.00°. The inequivalent atoms are Cr at (0.000, 0.000, 0.000), Ru at (0.250, 0.250, 0.250) and Pb at (0.125, 0.125, 0.625).

As for the density: 9.571 g/cm3. As for the energy relative to the elements: 1.09 eV/atom.

---

Crystalline CrRuPb at its relaxed geometry. Source: the Alexandria database, functional GGA-PBE.

It has space group I4mm (No. 107), with a = 3.033 Å, b = 3.033 Å, c = 11.583 Å, α = 90.00°, β = 90.00° and γ = 90.00°. The inequivalent atoms are Cr at (0.000, 0.000, 0.000), Ru at (0.000, 0.000, 0.382) and Pb at (0.000, 0.000, 0.695).

As for the density: 11.226 g/cm3. As for the energy relative to the elements: 0.48 eV/atom.

---

Crystalline YCr2RuPb at its relaxed geometry. Source: the Alexandria database, functional GGA-PBE.

It has space group P4/mmm (No. 123), with a = 4.728 Å, b = 4.728 Å, c = 4.896 Å, α = 90.00°, β = 90.00° and γ = 90.00°. The inequivalent atoms are Y at (0.000, 0.000, 0.000), Cr at (0.000, 0.500, 0.000), Ru at (0.000, 0.000, 0.500) and Pb at (0.500, 0.500, 0.500).

As for the density: 7.605 g/cm3. As for the energy relative to the elements: 2.10 eV/atom.

---

Crystalline Cr3PbS at its relaxed geometry. Source: the Alexandria database, functional GGA-PBE.

It has space group Pm-3m (No. 221), with a = 5.171 Å, b = 5.171 Å, c = 5.171 Å, α = 90.00°, β = 90.00° and γ = 90.00°. The inequivalent atoms are Cr at (0.000, 0.000, 0.500), Pb at (0.000, 0.000, 0.000) and S at (0.500, 0.500, 0.500).

Its energy relative to the lowest polymorph listed for this composition is 1038 meV per atom. The value obtained for the raw formation energy is 1.46 eV per atom. As for the density: 4.747 g/cm3.

---

Crystalline Cr6PbS8 at its relaxed geometry. Source: the Alexandria database, functional GGA-PBE.

It has space group R-3 (No. 148, hexagonal axes), with a = 8.8432 Å, b = 8.8432 Å, c = 11.0546 Å, α = 90.00°, β = 90.00° and γ = 120.00°. The inequivalent atoms are Cr at (0.0106, 0.1693, 0.4056), Pb at (0.0000, 0.0000, 0.0000), S at (0.0000, 0.0000, 0.2522) and S at (0.0173, 0.3752, 0.2499).

The value obtained for the raw formation energy is -0.62 eV per atom. As for the density: 5.161 g/cm3.

---

Crystalline Cr2PbS at its relaxed geometry. Source: the Alexandria database, functional GGA-PBE.

It has space group Fm-3m (No. 225), with a = 6.251 Å, b = 6.251 Å, c = 6.251 Å, α = 90.00°, β = 90.00° and γ = 90.00°. The inequivalent atoms are Cr at (0.250, 0.250, 0.250), Pb at (0.000, 0.000, 0.000) and S at (0.000, 0.000, 0.500).

Its energy relative to the lowest polymorph listed for this composition is 536 meV per atom. The value obtained for the raw formation energy is 0.83 eV per atom. As for the density: 9.336 g/cm3.

---

Crystalline CrPb3S at its relaxed geometry. Source: the Alexandria database, functional GGA-PBE.

It has space group Pm-3m (No. 221), with a = 5.196 Å, b = 5.196 Å, c = 5.196 Å, α = 90.00°, β = 90.00° and γ = 90.00°. The inequivalent atoms are Cr at (0.000, 0.000, 0.000), Pb at (0.000, 0.000, 0.500) and S at (0.500, 0.500, 0.500).

Its energy relative to the lowest polymorph listed for this composition is 0 meV per atom. The value obtained for the raw formation energy is 0.38 eV per atom. As for the density: 8.353 g/cm3.

---

Crystalline Cr3PbS at its relaxed geometry. Source: the Alexandria database, functional GGA-PBE.

It has space group Pm-3m (No. 221), with a = 4.262 Å, b = 4.262 Å, c = 4.262 Å, α = 90.00°, β = 90.00° and γ = 90.00°. The inequivalent atoms are Cr at (0.000, 0.000, 0.500), Pb at (0.500, 0.500, 0.500) and S at (0.000, 0.000, 0.000).

Its energy relative to the lowest polymorph listed for this composition is 0 meV per atom. The value obtained for the raw formation energy is 0.42 eV per atom. As for the density: 8.479 g/cm3.

---

Crystalline Cr2PbS at its relaxed geometry. Source: the Alexandria database, functional GGA-PBE.

It has space group I-42d (No. 122), with a = 6.963 Å, b = 6.963 Å, c = 6.538 Å, α = 90.00°, β = 90.00° and γ = 90.00°. The inequivalent atoms are Cr at (0.179, 0.250, 0.125), Pb at (0.000, 0.000, 0.500) and S at (0.000, 0.000, 0.000).

Its energy relative to the lowest polymorph listed for this composition is 0 meV per atom. The value obtained for the raw formation energy is 0.29 eV per atom. As for the density: 7.191 g/cm3.

---

Crystalline Cr2Pb2S at its relaxed geometry. Source: the Alexandria database, functional GGA-PBE.

It has space group P4/mbm (No. 127), with a = 8.217 Å, b = 8.217 Å, c = 3.215 Å, α = 90.00°, β = 90.00° and γ = 90.00°. The inequivalent atoms are Cr at (0.079, 0.421, 0.000), Pb at (0.207, 0.707, 0.500) and S at (0.000, 0.000, 0.500).

Its energy relative to the lowest polymorph listed for this composition is 164 meV per atom. The value obtained for the raw formation energy is 0.79 eV per atom. As for the density: 8.421 g/cm3.

---

Crystalline CrPb3S at its relaxed geometry. Source: the Alexandria database, functional GGA-PBE.

It has space group Pm-3m (No. 221), with a = 5.500 Å, b = 5.500 Å, c = 5.500 Å, α = 90.00°, β = 90.00° and γ = 90.00°. The inequivalent atoms are Cr at (0.000, 0.000, 0.000), Pb at (0.000, 0.500, 0.500) and S at (0.500, 0.500, 0.500).

Its energy relative to the lowest polymorph listed for this composition is 197 meV per atom. The value obtained for the raw formation energy is 0.58 eV per atom. As for the density: 7.045 g/cm3.

---

Crystalline Cr2Pb2S at its relaxed geometry. Source: the Alexandria database, functional GGA-PBE.

It has space group I4/mmm (No. 139), with a = 3.395 Å, b = 3.395 Å, c = 17.213 Å, α = 90.00°, β = 90.00° and γ = 90.00°. The inequivalent atoms are Cr at (0.000, 0.500, 0.250), Pb at (0.000, 0.000, 0.107) and S at (0.000, 0.000, 0.500).

Its energy relative to the lowest polymorph listed for this composition is 0 meV per atom. The value obtained for the raw formation energy is 0.63 eV per atom. As for the density: 9.216 g/cm3.

---

Crystalline CrPbS3 at its relaxed geometry. Source: the Alexandria database, functional GGA-PBE.

It has space group Pm-3m (No. 221), with a = 4.661 Å, b = 4.661 Å, c = 4.661 Å, α = 90.00°, β = 90.00° and γ = 90.00°. The inequivalent atoms are Cr at (0.000, 0.000, 0.000), Pb at (0.500, 0.500, 0.500) and S at (0.000, 0.000, 0.500).

Its energy relative to the lowest polymorph listed for this composition is 0 meV per atom. The value obtained for the raw formation energy is -0.23 eV per atom. As for the density: 5.829 g/cm3.

---

Crystalline UCrPbS4 at its relaxed geometry. Source: the Alexandria database, functional GGA-PBE.

It has space group Imma (No. 74), with a = 7.764 Å, b = 8.748 Å, c = 9.922 Å, α = 90.00°, β = 90.00° and γ = 90.00°. The inequivalent atoms are U at (0.000, 0.000, 0.000), Cr at (0.250, 0.250, 0.250), Pb at (0.000, 0.250, 0.674), S at (0.000, 0.070, 0.263) and S at (0.218, 0.250, 0.997).

The value obtained for the raw formation energy is -0.82 eV per atom. As for the density: 6.164 g/cm3.

---

Crystalline UCrPb2S6 at its relaxed geometry. Source: the Alexandria database, functional GGA-PBE.

It has space group R3 (No. 146, hexagonal axes), with a = 6.9243 Å, b = 6.9243 Å, c = 17.0110 Å, α = 90.00°, β = 90.00° and γ = 120.00°. The inequivalent atoms are U at (0.0000, 0.0000, 0.0000), Cr at (0.0000, 0.0000, 0.5001), Pb at (0.0000, 0.0000, 0.2841), Pb at (0.0000, 0.0000, 0.7835), S at (0.0104, 0.4258, 0.2439) and S at (0.0984, 0.7454, 0.0835).

The value obtained for the raw formation energy is -0.77 eV per atom. As for the density: 6.325 g/cm3.

---

Crystalline VCr2PbS at its relaxed geometry. Source: the Alexandria database, functional GGA-PBE.

It has space group P4/mmm (No. 123), with a = 4.544 Å, b = 4.544 Å, c = 4.441 Å, α = 90.00°, β = 90.00° and γ = 90.00°. The inequivalent atoms are V at (0.000, 0.000, 0.000), Cr at (0.000, 0.500, 0.500), Pb at (0.500, 0.500, 0.000) and S at (0.000, 0.000, 0.500).

The value obtained for the raw formation energy is 0.24 eV per atom. As for the density: 7.138 g/cm3.